# 1
# Te2H2Pd5 PBE optimized geometry
# **E**: -4.5060 eV per atom
data_Te2H2Pd5
_symmetry_space_group_name_H-M 'C 1 2/m 1'
_symmetry_Int_Tables_number 12
_cell_length_a 11.0599
_cell_length_b 4.1810
_cell_length_c 6.4349
_cell_angle_alpha 90.00
_cell_angle_beta 112.19
_cell_angle_gamma 90.00
loop_
_symmetry_equiv_pos_as_xyz
'x,y,z'
'-x,-y,-z'
'-x,y,-z'
'x,-y,z'
'x+1/2,y+1/2,z'
'-x+1/2,-y+1/2,-z'
'-x+1/2,y+1/2,-z'
'x+1/2,-y+1/2,z'
loop_
_atom_site_label
_atom_site_fract_x
_atom_site_fract_y
_atom_site_fract_z
_atom_site_occupancy
Te1 0.1087 0.0000 0.3390 1
H1 0.1597 0.5000 0.9419 1
Pd1 0.0000 0.5000 0.0000 1
Pd2 0.1344 0.5000 0.6222 1
Pd3 0.1521 0.0000 0.9356 1

=====

# 2
# Cd2MoOs PBE optimized geometry
# **E**: -5.4289 eV per atom
# **E above lowest polymorph**: 354 meV/atom
data_Cd2MoOs
_symmetry_space_group_name_H-M 'I m m 2'
_symmetry_Int_Tables_number 44
_cell_length_a 3.2048
_cell_length_b 4.8590
_cell_length_c 9.3437
_cell_angle_alpha 90.00
_cell_angle_beta 90.00
_cell_angle_gamma 90.00
loop_
_symmetry_equiv_pos_as_xyz
'x,y,z'
'-x,-y,z'
'-x,y,z'
'x,-y,z'
'x+1/2,y+1/2,z+1/2'
'-x+1/2,-y+1/2,z+1/2'
'-x+1/2,y+1/2,z+1/2'
'x+1/2,-y+1/2,z+1/2'
loop_
_atom_site_label
_atom_site_fract_x
_atom_site_fract_y
_atom_site_fract_z
_atom_site_occupancy
Cd1 0.0000 0.0000 0.0000 1
Cd2 0.0000 0.5000 0.2299 1
Mo1 0.0000 0.5000 0.7686 1
Os1 0.0000 0.0000 0.4685 1